Record 1
The following is a DFT calculation (PBE-GGA) of a relaxed MoRu4Pb crystal.

## Properties
Energy relative to the elements (kJ per mole of atoms): 54.59

Cell: 7.303 7.303 7.303 Å, 90.00 90.00 90.00°
Space group F-43m (No. 216)
Asymmetric unit:
Mo  0.000  0.000  0.000 [4 per cell]
Ru  0.125  0.125  0.625 [16 per cell]
Pb  0.250  0.250  0.250 [4 per cell]

=====

Record 2
The following is a DFT calculation (PBE-GGA) of a relaxed Mo2RuPb crystal.

## Properties
Energy relative to the elements (kJ per mole of atoms): 51.15

Cell: 3.1211 3.1211 26.0369 Å, 90.00 90.00 120.00°
Space group R3m (No. 160, hexagonal axes)
Asymmetric unit:
Mo  0.0000  0.0000  0.0000 [3 per cell]
Mo  0.0000  0.0000  0.2631 [3 per cell]
Ru  0.0000  0.0000  0.7409 [3 per cell]
Pb  0.0000  0.0000  0.4977 [3 per cell]

=====

Record 3
The following is a DFT calculation (PBE-GGA) of a relaxed MoRuPb2 crystal.

## Properties
Energy relative to the elements (kJ per mole of atoms): 60.20
Energy relative to the lowest polymorph listed for this composition (meV per atom): 367

Cell: 3.098 4.639 11.825 Å, 90.00 90.00 90.00°
Space group Imm2 (No. 44)
Asymmetric unit:
Mo  0.000  0.000  0.000 [2 per cell]
Ru  0.000  0.500  0.319 [2 per cell]
Pb  0.000  0.000  0.596 [2 per cell]
Pb  0.000  0.500  0.825 [2 per cell]

=====

Record 4
The following is a DFT calculation (PBE-GGA) of a relaxed MoRu2Pb crystal.

## Properties
Energy relative to the elements (kJ per mole of atoms): 59.76

Cell: 2.9376 2.9376 27.4260 Å, 90.00 90.00 120.00°
Space group R3m (No. 160, hexagonal axes)
Asymmetric unit:
Mo  0.0000  0.0000  0.0000 [3 per cell]
Ru  0.0000  0.0000  0.4857 [3 per cell]
Ru  0.0000  0.0000  0.7431 [3 per cell]
Pb  0.0000  0.0000  0.2402 [3 per cell]

=====

Number 1: total magnetic moment 0.00 μB per formula unit, E -8.041 eV per atom. Number 2: total magnetic moment 0.00 μB per formula unit, E -8.131 eV per atom. Number 3: total magnetic moment 0.00 μB per formula unit, E -6.257 eV per atom. Number 4: total magnetic moment 0.00 μB per formula unit, E -7.653 eV per atom.